Record 1
First-principles (PBE-GGA) data for Co2MoBr after structural relaxation, as listed in the Alexandria database.

* E_form (uncorrected): 2.33 eV per formula unit
* energy relative to the lowest polymorph listed for this composition: 0.123 eV/atom
* uncorrected energy: -6.097 eV/atom

Lattice parameters (Å, degrees): 2.9737 2.9737 23.8288 90.00 90.00 120.00
Space group R-3m (No. 166, hexagonal axes)
Unique sites:
Co1 0.0000 0.0000 0.2460 x6
Mo1 0.0000 0.0000 0.5000 x3
Br1 0.0000 0.0000 0.0000 x3



Record 2
First-principles (PBE-GGA) data for CoMoBr2 after structural relaxation, as listed in the Alexandria database.

* E_form (uncorrected): 3.44 eV per formula unit
* energy relative to the lowest polymorph listed for this composition: 0.787 eV/atom
* uncorrected energy: -4.462 eV/atom

Lattice parameters (Å, degrees): 5.605 5.605 11.016 90.00 90.00 90.00
Space group I-42d (No. 122)
Unique sites:
Co1 0.000 0.000 0.000 x4
Mo1 0.000 0.000 0.500 x4
Br1 0.228 0.250 0.125 x8



Record 3
First-principles (PBE-GGA) data for CoMoBr2 after structural relaxation, as listed in the Alexandria database.

* E_form (uncorrected): 2.54 eV per formula unit
* energy relative to the lowest polymorph listed for this composition: 0.564 eV/atom
* uncorrected energy: -4.685 eV/atom

Lattice parameters (Å, degrees): 3.2382 3.2382 24.9434 90.00 90.00 120.00
Space group R-3m (No. 166, hexagonal axes)
Unique sites:
Co1 0.0000 0.0000 0.0000 x3
Mo1 0.0000 0.0000 0.5000 x3
Br1 0.0000 0.0000 0.0922 x6



Record 4
First-principles (PBE-GGA) data for CoMoBr2 after structural relaxation, as listed in the Alexandria database.

* E_form (uncorrected): 3.53 eV per formula unit
* energy relative to the lowest polymorph listed for this composition: 0.810 eV/atom
* uncorrected energy: -4.439 eV/atom

Lattice parameters (Å, degrees): 3.116 5.833 8.438 90.00 90.00 90.00
Space group Immm (No. 71)
Unique sites:
Co1 0.000 0.000 0.000 x2
Mo1 0.000 0.000 0.500 x2
Br1 0.000 0.500 0.250 x4



Record 5
First-principles (PBE-GGA) data for Co2MoBr after structural relaxation, as listed in the Alexandria database.

* E_form (uncorrected): 1.91 eV per formula unit
* energy relative to the lowest polymorph listed for this composition: 0.018 eV/atom
* uncorrected energy: -6.201 eV/atom

Lattice parameters (Å, degrees): 3.033 3.059 13.262 90.00 90.00 90.00
Space group Amm2 (No. 38)
Unique sites:
Co1 0.000 0.000 0.000 x2
Co2 0.500 0.000 0.421 x2
Mo1 0.000 0.000 0.809 x2
Br1 0.500 0.000 0.169 x2



Record 6
First-principles (PBE-GGA) data for CoMoBr2 after structural relaxation, as listed in the Alexandria database.

* E_form (uncorrected): 2.80 eV per formula unit
* energy relative to the lowest polymorph listed for this composition: 0.629 eV/atom
* uncorrected energy: -4.620 eV/atom

Lattice parameters (Å, degrees): 4.662 3.740 5.193 90.00 91.42 90.00
Space group P2/m (No. 10)
Unique sites:
Co1 0.000 0.000 0.000 x1
Mo1 0.000 0.000 0.500 x1
Br1 0.269 0.500 0.239 x2



Record 7
First-principles (PBE-GGA) data for Co2MoBr after structural relaxation, as listed in the Alexandria database.

* E_form (uncorrected): 3.63 eV per formula unit
* energy relative to the lowest polymorph listed for this composition: 0.446 eV/atom
* uncorrected energy: -5.773 eV/atom

Lattice parameters (Å, degrees): 5.820 5.820 8.740 90.00 90.00 90.00
Space group I-42d (No. 122)
Unique sites:
Co1 0.238 0.250 0.125 x8
Mo1 0.000 0.000 0.000 x4
Br1 0.000 0.000 0.500 x4



Record 8
First-principles (PBE-GGA) data for Co2MoBr after structural relaxation, as listed in the Alexandria database.

* E_form (uncorrected): 3.74 eV per formula unit
* energy relative to the lowest polymorph listed for this composition: 0.476 eV/atom
* uncorrected energy: -5.744 eV/atom

Lattice parameters (Å, degrees): 4.497 4.497 2.790 90.00 90.00 90.00
Space group P4/mmm (No. 123)
Unique sites:
Co1 0.000 0.500 0.000 x2
Mo1 0.000 0.000 0.500 x1
Br1 0.500 0.500 0.500 x1